(1)
Compound: AcCe2TeO8
Source: the Alexandria database
Functional: PBE
Structure: relaxed

- size of the total moment (μB per atom) = 0.00
- V (Å³/atom) = 14.3
- uncorrected formation energy (eV per atom) = -2.602

a b c (Å): 4.1954 5.4554 7.5107
angles (deg): 90.00 90.00 93.84
Last column: nearest neighbours and their distance in Å.
Fractional coordinates of all 12 atoms:
O: 0.5777 0.7692 0.0000  1 Te 2.10, 2 Ce 2.35
O: 0.0568 0.7535 0.2118  1 Te 2.11
O: 0.5034 0.7318 0.5000  2 Ce 2.31, 1 Ac 2.46, 1 O 2.53
O: 0.9432 0.2465 0.2118  1 Te 2.11
O: 0.4966 0.2682 0.5000  2 Ce 2.31, 1 Ac 2.46, 1 O 2.53
O: 0.0568 0.7535 0.7882  1 Te 2.11
Ac: 0.0000 0.0000 0.5000  8 O 2.46-2.65
O: 0.4223 0.2308 0.0000  1 Te 2.10, 2 Ce 2.35
Ce: 0.5000 0.5000 0.2431  6 O 2.31-2.40
Te: 0.0000 0.0000 0.0000  6 O 2.10-2.11
O: 0.9432 0.2465 0.7882  1 Te 2.11
Ce: 0.5000 0.5000 0.7569  6 O 2.31-2.40

***

(2)
Compound: Pa2Co2P3
Source: the Alexandria database
Functional: PBE
Structure: relaxed

- size of the total moment (μB per atom) = 0.00
- V (Å³/atom) = 16.0
- ΔH_f (0 K) (eV per atom) = -0.7378

a b c (Å): 3.8632 5.0966 6.3466
angles (deg): 103.55 90.00 112.27
Last column: nearest neighbours and their distance in Å.
Fractional coordinates of all 7 atoms:
Pa: 0.1445 0.2890 0.7894  1 Co 2.54, 2 P 2.82
Pa: 0.8555 0.7110 0.2106  1 Co 2.54, 2 P 2.82
Co: 0.1327 0.2654 0.2798  3 P 2.26-2.50
P: 0.6192 0.2385 0.4580  3 Co 2.26-2.50, 1 P 2.44
P: 0.5000 0.0000 0.0000  4 Co 2.71, 2 P 2.84, 4 Pa 2.88
P: 0.3808 0.7615 0.5420  3 Co 2.26-2.50, 1 P 2.44
Co: 0.8673 0.7346 0.7202  3 P 2.26-2.50

***

What is the formula in the second record?
Pa2Co2P3

***

Which of these has the lowest V?
AcCe2TeO8